{
  "formula": "ZrCr2AgO8",
  "functional": "GGA+U",
  "state": "relaxed",
  "cell": [[-3.5377, 3.5377, 3.0895], [3.5377, -3.5377, 3.0895], [3.5377, 3.5377, -3.0895]],
  "species": ["Zr", "Cr", "Cr", "Ag", "O", "O", "O", "O", "O", "O", "O", "O"],
  "fractional_positions": [[0.0000, 0.0000, 0.0000], [0.5000, 0.5000, 0.0000], [0.7500, 0.2500, 0.5000], [0.2500, 0.7500, 0.5000], [0.3221, 0.1432, 0.8212], [0.3221, 0.5009, 0.1788], [0.3916, 0.0980, 0.2935], [0.4991, 0.6779, 0.8212], [0.8045, 0.0980, 0.7065], [0.8568, 0.6779, 0.1788], [0.9020, 0.1955, 0.2935], [0.9020, 0.6084, 0.7065]],
  "m_tot_mub_per_fu": 0.999,
  "rho_g_cm3": 4.6,
  "volume_a3_per_cell": 155,
  "energy_ev_per_atom": -7.0217
}